4
Lattice="-0.400 -3.718 0.678 2.895 0.154 2.554 -5.679 1.766 6.330" Properties=species:S:1:pos:R:3 comment="KY2Re, relaxed, DFT PBEsol" density_g_cm3=5.25 delta_e_f_mev_per_atom=700 magnetic_moment_mub_per_atom=0.0001 energy_ev_per_atom=-6.327 pbc="T T T"
Y -5.328 1.657 5.939
Y 0.309 -1.491 2.661
Re -3.571 -0.284 6.986
K -3.113 0.968 3.469


4
Lattice="2.606 0.000 0.000 0.000 2.606 0.000 0.000 0.000 10.017" Properties=species:S:1:pos:R:3 comment="KZnRe2, relaxed, DFT PBEsol" density_g_cm3=11.64 delta_e_f_mev_per_atom=938 magnetic_moment_mub_per_atom=0.0001 energy_ev_per_atom=-6.407 pbc="T T T"
Zn 1.303 1.303 0.000
Re 0.000 0.000 7.938
Re 0.000 0.000 2.079
K 1.303 1.303 5.008